(1)
Compound: BaSc3Au
Source: the Alexandria database
Functional: PBE-GGA
Structure: relaxed

Unit cell a=5.214 b=5.214 c=5.214 alpha=90.00 beta=90.00 gamma=90.00
Positions (direct):
Ba1 0.000 0.000 0.000
Sc1 0.000 0.000 0.500
Sc2 0.000 0.500 0.000
Sc3 0.500 0.000 0.000
Au1 0.500 0.500 0.500

Values from the calculation:
Formation energy from the elements = 586 kJ/mol of formula units
Polymorph energy (0 for the lowest one) = 1.273 eV/atom
Space group = Pm-3m (221)

=====

(2)
Compound: BaScAu2
Source: the Alexandria database
Functional: PBE-GGA
Structure: relaxed

Unit cell a=3.617 b=3.617 c=7.730 alpha=90.00 beta=90.00 gamma=90.00
Positions (direct):
Ba1 0.000 0.000 0.000
Sc1 0.000 0.000 0.500
Au1 0.500 0.500 0.311
Au2 0.500 0.500 0.689

Values from the calculation:
Formation energy from the elements = -256 kJ/mol of formula units
Polymorph energy (0 for the lowest one) = 0.000 eV/atom
Space group = P4/mmm (123)

=====

(3)
Compound: Ba3ScAu
Source: the Alexandria database
Functional: PBE-GGA
Structure: relaxed

Unit cell a=6.347 b=6.347 c=6.347 alpha=90.00 beta=90.00 gamma=90.00
Positions (direct):
Ba1 0.000 0.000 0.500
Ba2 0.000 0.500 0.000
Ba3 0.500 0.000 0.000
Sc1 0.500 0.500 0.500
Au1 0.000 0.000 0.000

Values from the calculation:
Formation energy from the elements = 35 kJ/mol of formula units
Polymorph energy (0 for the lowest one) = 0.000 eV/atom
Space group = Pm-3m (221)

=====

(4)
Compound: Ba2ScAu
Source: the Alexandria database
Functional: PBE-GGA
Structure: relaxed

Unit cell a=4.009 b=4.009 c=9.209 alpha=90.00 beta=90.00 gamma=90.00
Positions (direct):
Ba1 0.000 0.000 0.212
Ba2 0.000 0.000 0.788
Sc1 0.500 0.500 0.500
Au1 0.500 0.500 0.000

Values from the calculation:
Formation energy from the elements = -35 kJ/mol of formula units
Polymorph energy (0 for the lowest one) = 0.152 eV/atom
Space group = P4/mmm (123)

=====

(5)
Compound: Ba2ScAu
Source: the Alexandria database
Functional: PBE-GGA
Structure: relaxed

Unit cell a=10.686 b=10.686 c=10.686 alpha=22.75 beta=22.75 gamma=22.75
Positions (direct):
Ba1 0.237 0.237 0.237
Ba2 0.763 0.763 0.763
Sc1 0.000 0.000 0.000
Au1 0.500 0.500 0.500

Values from the calculation:
Formation energy from the elements = 7 kJ/mol of formula units
Polymorph energy (0 for the lowest one) = 0.262 eV/atom
Space group = R-3m (166)

=====

(6)
Compound: BaScAu2
Source: the Alexandria database
Functional: PBE-GGA
Structure: relaxed

Unit cell a=6.830 b=6.830 c=6.830 alpha=108.43 beta=108.43 gamma=111.58
Positions (direct):
Ba1 0.000 0.000 0.000
Ba2 0.750 0.250 0.500
Sc1 0.250 0.750 0.500
Sc2 0.500 0.500 0.000
Au1 0.186 0.125 0.561
Au2 0.375 0.814 0.939
Au3 0.564 0.625 0.439
Au4 0.875 0.436 0.061

Values from the calculation:
Formation energy from the elements = -149 kJ/mol of formula units
Polymorph energy (0 for the lowest one) = 0.279 eV/atom
Space group = I-42d (122)

=====

(7)
Compound: Ba2ScAu
Source: the Alexandria database
Functional: PBE-GGA
Structure: relaxed

Unit cell a=5.624 b=5.624 c=5.624 alpha=60.00 beta=60.00 gamma=60.00
Positions (direct):
Ba1 0.000 0.000 0.000
Ba2 0.250 0.250 0.250
Sc1 0.500 0.500 0.500
Au1 0.750 0.750 0.750

Values from the calculation:
Formation energy from the elements = 43 kJ/mol of formula units
Polymorph energy (0 for the lowest one) = 0.355 eV/atom
Space group = F-43m (216)

=====

(8)
Compound: BaSc2Au
Source: the Alexandria database
Functional: PBE-GGA
Structure: relaxed

Unit cell a=7.257 b=7.257 c=7.257 alpha=37.30 beta=37.30 gamma=37.30
Positions (direct):
Ba1 0.000 0.000 0.000
Sc1 0.208 0.208 0.208
Sc2 0.792 0.792 0.792
Au1 0.500 0.500 0.500

Values from the calculation:
Formation energy from the elements = -61 kJ/mol of formula units
Polymorph energy (0 for the lowest one) = 0.070 eV/atom
Space group = R-3m (166)

=====

(9)
Compound: BaScAu2
Source: the Alexandria database
Functional: PBE-GGA
Structure: relaxed

Unit cell a=6.177 b=6.177 c=6.177 alpha=138.11 beta=138.11 gamma=60.73
Positions (direct):
Ba1 0.000 0.000 0.000
Sc1 0.250 0.750 0.500
Au1 0.500 0.500 0.000
Au2 0.750 0.250 0.500

Values from the calculation:
Formation energy from the elements = -101 kJ/mol of formula units
Polymorph energy (0 for the lowest one) = 0.403 eV/atom
Space group = I-4m2 (119)

=====

(10)
Compound: BaSc3Au
Source: the Alexandria database
Functional: PBE-GGA
Structure: relaxed

Unit cell a=5.372 b=5.372 c=5.372 alpha=90.00 beta=90.00 gamma=90.00
Positions (direct):
Ba1 0.000 0.000 0.000
Sc1 0.000 0.500 0.500
Sc2 0.500 0.000 0.500
Sc3 0.500 0.500 0.000
Au1 0.500 0.500 0.500

Values from the calculation:
Formation energy from the elements = -29 kJ/mol of formula units
Polymorph energy (0 for the lowest one) = 0.000 eV/atom
Space group = Pm-3m (221)

=====

(11)
Compound: BaSc2Au
Source: the Alexandria database
Functional: PBE-GGA
Structure: relaxed

Unit cell a=5.167 b=5.167 c=5.167 alpha=60.00 beta=60.00 gamma=60.00
Positions (direct):
Ba1 0.000 0.000 0.000
Sc1 0.250 0.250 0.250
Sc2 0.750 0.750 0.750
Au1 0.500 0.500 0.500

Values from the calculation:
Formation energy from the elements = 21 kJ/mol of formula units
Polymorph energy (0 for the lowest one) = 0.282 eV/atom
Space group = Fm-3m (225)

=====

(12)
Compound: BaSc4Au
Source: the Alexandria database
Functional: PBE-GGA
Structure: relaxed

Unit cell a=6.137 b=6.137 c=6.137 alpha=60.00 beta=60.00 gamma=60.00
Positions (direct):
Ba1 0.000 0.000 0.000
Sc1 0.130 0.623 0.623
Sc2 0.623 0.130 0.623
Sc3 0.623 0.623 0.130
Sc4 0.623 0.623 0.623
Au1 0.250 0.250 0.250

Values from the calculation:
Formation energy from the elements = 195 kJ/mol of formula units
Space group = F-43m (216)

=====

(13)
Compound: BaSc2Au
Source: the Alexandria database
Functional: PBE-GGA
Structure: relaxed

Unit cell a=5.371 b=5.371 c=5.371 alpha=60.00 beta=60.00 gamma=60.00
Positions (direct):
Ba1 0.000 0.000 0.000
Sc1 0.250 0.250 0.250
Sc2 0.500 0.500 0.500
Au1 0.750 0.750 0.750

Values from the calculation:
Formation energy from the elements = 53 kJ/mol of formula units
Polymorph energy (0 for the lowest one) = 0.365 eV/atom
Space group = F-43m (216)

=====

(14)
Compound: BaScAuSe3
Source: the Alexandria database
Functional: PBE-GGA
Structure: relaxed

Unit cell a=8.314 b=4.141 c=9.588 alpha=90.00 beta=107.14 gamma=90.00
Positions (direct):
Ba1 0.218 0.250 0.260
Ba2 0.782 0.750 0.740
Sc1 0.320 0.750 0.842
Sc2 0.680 0.250 0.158
Au1 0.101 0.250 0.595
Au2 0.899 0.750 0.405
Se1 0.105 0.250 0.870
Se2 0.283 0.750 0.547
Se3 0.451 0.750 0.139
Se4 0.549 0.250 0.861
Se5 0.717 0.250 0.453
Se6 0.895 0.750 0.130

Values from the calculation:
Formation energy from raw total energies = -1394 meV/atom
Space group = P2_1/m (11)

=====

(15)
Compound: BaScSiAu2
Source: the Alexandria database
Functional: PBE-GGA
Structure: relaxed

Unit cell a=5.071 b=5.071 c=6.245 alpha=90.00 beta=90.00 gamma=90.00
Positions (direct):
Ba1 0.000 0.000 0.000
Sc1 0.000 0.000 0.500
Si1 0.500 0.500 0.000
Au1 0.000 0.500 0.500
Au2 0.500 0.000 0.500

Values from the calculation:
Formation energy from raw total energies = 601 meV/atom
Space group = P4/mmm (123)

=====

(16)
Compound: Ba2ScTeAu
Source: the Alexandria database
Functional: PBE-GGA
Structure: relaxed

Unit cell a=6.483 b=6.483 c=5.329 alpha=90.00 beta=90.00 gamma=90.00
Positions (direct):
Ba1 0.000 0.500 0.000
Ba2 0.500 0.000 0.000
Sc1 0.000 0.000 0.000
Te1 0.000 0.000 0.500
Au1 0.500 0.500 0.500

Values from the calculation:
Formation energy from raw total energies = -106 meV/atom
Space group = P4/mmm (123)

=====

(17)
Compound: BaSc2ZnAu
Source: the Alexandria database
Functional: PBE-GGA
Structure: relaxed

Unit cell a=5.574 b=5.574 c=5.582 alpha=90.00 beta=90.00 gamma=90.00
Positions (direct):
Ba1 0.000 0.000 0.000
Sc1 0.000 0.500 0.000
Sc2 0.500 0.000 0.000
Zn1 0.500 0.500 0.500
Au1 0.000 0.000 0.500

Values from the calculation:
Formation energy from the elements = 621 kJ/mol of formula units
Space group = P4/mmm (123)

=====

(18)
Compound: BaAu2Se
Source: the Alexandria database
Functional: PBE-GGA
Structure: relaxed

Unit cell a=4.079 b=4.079 c=7.050 alpha=90.00 beta=90.00 gamma=90.00
Positions (direct):
Ba1 0.000 0.000 0.000
Au1 0.000 0.000 0.548
Au2 0.500 0.500 0.548
Se1 0.500 0.500 0.175

Values from the calculation:
Formation energy from raw total energies = -581 meV/atom
Space group = P4mm (99)

=====

(19)
Compound: BaAuSe2
Source: the Alexandria database
Functional: PBE-GGA
Structure: relaxed

Unit cell a=6.694 b=6.694 c=6.694 alpha=107.49 beta=107.49 gamma=113.50
Positions (direct):
Ba1 0.000 0.000 0.000
Ba2 0.750 0.250 0.500
Au1 0.250 0.750 0.500
Au2 0.500 0.500 0.000
Se1 0.202 0.625 0.077
Se2 0.375 0.452 0.577
Se3 0.548 0.125 0.923
Se4 0.875 0.798 0.423

Values from the calculation:
Polymorph energy (0 for the lowest one) = 0.051 eV/atom
Formation energy from raw total energies = -951 meV/atom
Space group = I-42d (122)

=====

(20)
Compound: BaAuSe2
Source: the Alexandria database
Functional: PBE-GGA
Structure: relaxed

Unit cell a=9.219 b=9.219 c=9.219 alpha=25.96 beta=25.96 gamma=25.96
Positions (direct):
Ba1 0.000 0.000 0.000
Au1 0.500 0.500 0.500
Se1 0.118 0.118 0.118
Se2 0.882 0.882 0.882

Values from the calculation:
Polymorph energy (0 for the lowest one) = 0.847 eV/atom
Formation energy from raw total energies = -155 meV/atom
Space group = R-3m (166)

=====

(21)
Compound: BaAu2Se
Source: the Alexandria database
Functional: PBE-GGA
Structure: relaxed

Unit cell a=4.394 b=4.884 c=5.428 alpha=90.00 beta=90.00 gamma=90.00
Positions (direct):
Ba1 0.000 0.000 0.000
Au1 0.500 0.500 0.245
Au2 0.500 0.500 0.755
Se1 0.500 0.000 0.500

Values from the calculation:
Formation energy from raw total energies = -780 meV/atom
Space group = Pmmm (47)

=====

(22)
Compound: BaAuSe2
Source: the Alexandria database
Functional: PBE-GGA
Structure: relaxed

Unit cell a=5.668 b=5.668 c=5.668 alpha=136.30 beta=111.85 gamma=84.54
Positions (direct):
Ba1 0.000 0.000 0.000
Au1 0.500 0.500 0.000
Se1 0.308 0.808 0.500
Se2 0.692 0.192 0.500

Values from the calculation:
Polymorph energy (0 for the lowest one) = 0.131 eV/atom
Formation energy from raw total energies = -871 meV/atom
Space group = Immm (71)

=====

(23)
Compound: BaAuSe2
Source: the Alexandria database
Functional: PBE-GGA
Structure: relaxed

Unit cell a=5.336 b=5.336 c=5.336 alpha=60.00 beta=60.00 gamma=60.00
Positions (direct):
Ba1 0.000 0.000 0.000
Au1 0.750 0.750 0.750
Se1 0.250 0.250 0.250
Se2 0.500 0.500 0.500

Values from the calculation:
Polymorph energy (0 for the lowest one) = 0.579 eV/atom
Formation energy from raw total energies = -423 meV/atom
Space group = F-43m (216)

=====

(24)
Compound: BaAu2Se
Source: the Alexandria database
Functional: PBE-GGA
Structure: relaxed

Unit cell a=6.020 b=6.020 c=6.020 alpha=139.70 beta=131.04 gamma=65.21
Positions (direct):
Ba1 0.000 0.000 0.000
Au1 0.281 0.781 0.500
Au2 0.719 0.219 0.500
Se1 0.500 0.500 0.000

Values from the calculation:
Formation energy from raw total energies = -491 meV/atom
Space group = Immm (71)

=====

(25)
Compound: Ba4AuSe3
Source: the Alexandria database
Functional: PBE-GGA
Structure: relaxed

Unit cell a=6.711 b=6.711 c=6.711 alpha=90.00 beta=90.00 gamma=90.00
Positions (direct):
Ba1 0.000 0.000 0.000
Ba2 0.000 0.500 0.500
Ba3 0.500 0.000 0.500
Ba4 0.500 0.500 0.000
Au1 0.500 0.500 0.500
Se1 0.000 0.000 0.500
Se2 0.000 0.500 0.000
Se3 0.500 0.000 0.000

Values from the calculation:
Formation energy from raw total energies = -1635 meV/atom
Space group = Pm-3m (221)

=====

(26)
Compound: BaAuSe2
Source: the Alexandria database
Functional: PBE-GGA
Structure: relaxed

Unit cell a=6.391 b=6.391 c=6.391 alpha=139.59 beta=139.59 gamma=58.48
Positions (direct):
Ba1 0.000 0.000 0.000
Au1 0.750 0.250 0.500
Se1 0.250 0.750 0.500
Se2 0.500 0.500 0.000

Values from the calculation:
Polymorph energy (0 for the lowest one) = 0.445 eV/atom
Formation energy from raw total energies = -558 meV/atom
Space group = I-4m2 (119)

=====

E_tot readings, ordered: -0.2664, -0.3209, -0.2207, -0.2539, -0.2458, -0.3004, -0.2389, -0.3399, -0.2913, -0.3600, -0.3243, -0.3492, -0.3182, -0.3718, -0.2533, -0.2517, -0.1867, -0.2625, -0.2935, -0.2350, -0.2772, -0.2876, -0.2547, -0.2559, -0.3170, -0.2646 Ry/atom